(1)
Y2CoMo PBE optimized geometry; space-group type = I-42d, No. 122; energy relative to the lowest polymorph listed for this composition = 573 meV per atom; formation energy = 0.65 eV/atom; calculated density = 6.542 g cm⁻³
1.0
-1.271 5.169 5.401
-3.900 -5.132 3.994
-0.115 -0.798 6.060
Y Co Mo
4 2 2
direct
0.164 0.625 0.250
0.586 0.125 0.250
0.375 0.414 0.750
0.875 0.836 0.750
0.250 0.750 0.500
0.500 0.500 0.000
0.000 0.000 0.000
0.750 0.250 0.500



(2)
Pr5Te2Se2 PBE optimized geometry; DFT total energy = -98.91 eV/cell; space-group type = Cmce, No. 64; calculated density = 7.088 g cm⁻³
1.0
8.109 0.000 0.000
0.000 7.677 -4.453
0.000 -0.742 8.843
Te Pr Se
4 10 4
direct
0.000 0.798 0.202
0.500 0.298 0.702
0.500 0.702 0.298
0.000 0.202 0.798
0.657 0.284 0.029
0.157 0.216 0.471
0.843 0.784 0.529
0.000 0.000 0.000
0.343 0.971 0.716
0.657 0.029 0.284
0.843 0.529 0.784
0.157 0.471 0.216
0.500 0.500 0.500
0.343 0.716 0.971
0.644 0.855 0.855
0.144 0.645 0.645
0.356 0.145 0.145
0.856 0.355 0.355



(3)
CaTm2ScS4 PBE optimized geometry; DFT total energy = -49.33 eV/cell; space-group type = P2/m, No. 10; calculated density = 5.694 g cm⁻³
1.0
-0.490 -2.176 -3.120
5.892 2.052 -2.356
0.897 -5.474 3.677
Tm S Sc Ca
2 4 1 1
direct
0.000 0.500 0.500
0.500 0.000 0.500
0.000 0.242 0.748
0.500 0.243 0.246
0.000 0.758 0.252
0.500 0.757 0.754
0.000 0.000 0.000
0.500 0.500 0.000



(4)
Er8TcPd2 PBE optimized geometry; space-group type = C2/m, No. 12; energy relative to the lowest polymorph listed for this composition = 0 meV per atom; formation energy = -0.37 eV/atom; calculated density = 9.886 g cm⁻³
1.0
-3.213 3.498 1.681
0.345 -2.671 6.220
7.710 4.143 -1.434
Er Tc Pd
8 1 2
direct
0.970 0.206 0.940
0.335 0.034 0.670
0.802 0.692 0.603
0.592 0.441 0.184
0.198 0.308 0.397
0.408 0.559 0.816
0.665 0.966 0.330
0.030 0.794 0.060
0.500 0.000 0.000
0.813 0.294 0.626
0.187 0.706 0.374



(5)
La2TiSb PBE optimized geometry; space-group type = I-42d, No. 122; energy relative to the lowest polymorph listed for this composition = 241 meV per atom; calculated density = 6.467 g cm⁻³
1.0
8.608 0.000 0.000
0.000 8.608 0.000
4.304 4.304 3.101
La Sb Ti
4 2 2
direct
0.875 0.866 0.750
0.616 0.125 0.250
0.375 0.384 0.750
0.134 0.625 0.250
0.750 0.250 0.500
0.000 0.000 0.000
0.250 0.750 0.500
0.500 0.500 0.000



(6)
SiRhSCl2 PBE optimized geometry; space-group type = P4/mmm, No. 123; energy relative to the lowest polymorph listed for this composition = 0 meV per atom; calculated density = 3.707 g cm⁻³
1.0
-3.223 -2.968 1.702
3.390 -3.083 1.044
0.462 1.963 4.295
Rh Cl S Si
1 2 1 1
direct
0.000 0.000 0.000
0.000 0.500 0.000
0.500 0.000 0.000
0.000 0.000 0.500
0.500 0.500 0.500